Record 1
VASP calculation (PBE) on an optimized crystal structure of Ca4TiO5.

Summary:
Size of the total moment ... 3.75 Bohr magnetons per cell

abc: 7.469 7.469 4.747
angles: 90.00 90.00 90.00
Space group I4/m (No. 87)
Unique sites:
Ca: 0.099 0.704 0.000 [8 per cell]
Ti: 0.000 0.000 0.500 [2 per cell]
O: 0.000 0.000 0.000 [2 per cell]
O: 0.093 0.715 0.500 [8 per cell]



Record 2
VASP calculation (PBE) on an optimized crystal structure of CaTi3O7.

Summary:
Size of the total moment ... 0.00 Bohr magnetons per cell

abc: 10.792 10.600 5.438
angles: 90.00 90.00 90.00
Space group Pnma (No. 62)
Unique sites:
Ca: 0.071 0.250 0.176 [4 per cell]
Ti: 0.191 0.525 0.700 [8 per cell]
Ti: 0.217 0.750 0.192 [4 per cell]
O: 0.044 0.577 0.719 [8 per cell]
O: 0.061 0.750 0.175 [4 per cell]
O: 0.220 0.120 0.458 [8 per cell]
O: 0.225 0.120 0.935 [8 per cell]



Record 3
VASP calculation (PBE) on an optimized crystal structure of Ca4Ti2O.

Summary:
Size of the total moment ... 12.84 Bohr magnetons per cell

abc: 4.653 4.653 17.461
angles: 90.00 90.00 90.00
Space group I4/mmm (No. 139)
Unique sites:
Ca: 0.000 0.000 0.145 [4 per cell]
Ca: 0.000 0.500 0.000 [4 per cell]
Ti: 0.000 0.000 0.326 [4 per cell]
O: 0.000 0.000 0.000 [2 per cell]



Record 4
VASP calculation (PBE) on an optimized crystal structure of CaTi3O.

Summary:
Size of the total moment ... 0.00 Bohr magnetons per cell
Excess energy over the best structure of this formula in the dataset ... 0.000 eV/atom

abc: 4.348 4.348 4.348
angles: 90.00 90.00 90.00
Space group Pm-3m (No. 221)
Unique sites:
Ca: 0.000 0.000 0.000 [1 per cell]
Ti: 0.000 0.500 0.500 [3 per cell]
O: 0.500 0.500 0.500 [1 per cell]



Record 5
VASP calculation (PBE) on an optimized crystal structure of CaTi2O5.

Summary:
Size of the total moment ... 0.00 Bohr magnetons per cell
Excess energy over the best structure of this formula in the dataset ... 0.056 eV/atom

abc: 3.806 11.152 11.521
angles: 90.00 90.00 90.00
Space group Cmcm (No. 63)
Unique sites:
Ca: 0.000 0.094 0.250 [4 per cell]
Ti: 0.000 0.208 0.597 [8 per cell]
O: 0.000 0.058 0.621 [8 per cell]
O: 0.000 0.238 0.076 [8 per cell]
O: 0.000 0.290 0.750 [4 per cell]



Record 6
VASP calculation (PBE) on an optimized crystal structure of Ca2Ti3O8.

Summary:
Size of the total moment ... 0.00 Bohr magnetons per cell
Excess energy over the best structure of this formula in the dataset ... 0.094 eV/atom

abc: 6.0914 6.0914 10.5810
angles: 90.00 90.00 120.00
Space group P6_3mc (No. 186)
Unique sites:
Ca: 0.3333 0.6667 0.0000 [2 per cell]
Ca: 0.3333 0.6667 0.4052 [2 per cell]
Ti: 0.1630 0.3259 0.7212 [6 per cell]
O: 0.0000 0.0000 0.3200 [2 per cell]
O: 0.0455 0.5228 0.8257 [6 per cell]
O: 0.1558 0.3116 0.1310 [6 per cell]
O: 0.3333 0.6667 0.6202 [2 per cell]



Record 7
VASP calculation (PBE) on an optimized crystal structure of Ca2Ti3O8.

Summary:
Size of the total moment ... 0.00 Bohr magnetons per cell
Excess energy over the best structure of this formula in the dataset ... 0.000 eV/atom

abc: 11.240 6.128 5.090
angles: 90.00 110.55 90.00
Space group C2/m (No. 12)
Unique sites:
Ca: 0.225 0.000 0.162 [4 per cell]
Ti: 0.000 0.234 0.500 [4 per cell]
Ti: 0.000 0.500 0.000 [2 per cell]
O: 0.100 0.500 0.405 [4 per cell]
O: 0.103 0.000 0.450 [4 per cell]
O: 0.104 0.280 0.894 [8 per cell]



Record 8
VASP calculation (PBE) on an optimized crystal structure of CaTi3O.

Summary:
Size of the total moment ... 1.70 Bohr magnetons per cell
Excess energy over the best structure of this formula in the dataset ... 2.752 eV/atom

abc: 4.639 4.639 4.639
angles: 90.00 90.00 90.00
Space group Pm-3m (No. 221)
Unique sites:
Ca: 0.000 0.000 0.000 [1 per cell]
Ti: 0.000 0.000 0.500 [3 per cell]
O: 0.500 0.500 0.500 [1 per cell]



no.,formation energy (no corrections) (kcal/mol of atoms),uncorrected energy (Ry/atom)
1,-63.16,-0.5004
2,-69.94,-0.6265
3,-3.78,-0.3140
4,-14.49,-0.4967
5,-70.38,-0.6155
6,-69.93,-0.6037
7,-72.10,-0.6106
8,48.97,-0.2944